# 1
Density functional theory data (PBE) for an optimized crystal structure of Sm2HoSc3Se6.

Raw formation energy in eV per atom: -1.680
Symmetry: C2/m, No. 12
Magnetic moment in μB per cell: 0.0
Density in Mg/m³: 6.5

abc: 8.9707 8.9707 8.0675
angles: 103.49 103.49 25.65
Positions (direct):
Sm 0.1683 0.1683 0.3360
Sm 0.8317 0.8317 0.6640
Ho 0.5000 0.5000 0.0000
Sc 0.1695 0.1695 0.8326
Sc 0.5000 0.5000 0.5000
Sc 0.8305 0.8305 0.1674
Se 0.0056 0.0056 0.7447
Se 0.3316 0.3316 0.9321
Se 0.3398 0.3398 0.4033
Se 0.6602 0.6602 0.5967
Se 0.6684 0.6684 0.0679
Se 0.9944 0.9944 0.2553

---

# 2
Density functional theory data (PBE) for an optimized crystal structure of Sm4HoSc3Se8.

Raw formation energy in eV per atom: -1.707
Symmetry: R-3m, No. 166
Magnetic moment in μB per cell: 0.0
Density in Mg/m³: 6.8

abc: 8.1710 8.1710 8.1710
angles: 58.88 58.88 58.88
Positions (direct):
Sm 0.0000 0.0000 0.0000
Sm 0.0000 0.5000 0.5000
Sm 0.5000 0.0000 0.5000
Sm 0.5000 0.5000 0.0000
Ho 0.5000 0.5000 0.5000
Sc 0.0000 0.0000 0.5000
Sc 0.0000 0.5000 0.0000
Sc 0.5000 0.0000 0.0000
Se 0.2367 0.7465 0.7465
Se 0.2417 0.2417 0.2417
Se 0.2535 0.2535 0.7633
Se 0.2535 0.7633 0.2535
Se 0.7465 0.2367 0.7465
Se 0.7465 0.7465 0.2367
Se 0.7583 0.7583 0.7583
Se 0.7633 0.2535 0.2535

---

# 3
Density functional theory data (PBE) for an optimized crystal structure of SrHo4ScSe8.

Raw formation energy in eV per atom: -1.752
Symmetry: R3m, No. 160
Magnetic moment in μB per cell: 0.0
Density in Mg/m³: 5.6

abc: 8.3731 8.3731 8.3731
angles: 60.95 60.95 60.95
Positions (direct):
Sr 0.0000 0.0000 0.0000
Ho 0.1137 0.6229 0.6229
Ho 0.2435 0.2435 0.2435
Ho 0.6229 0.1137 0.6229
Ho 0.6229 0.6229 0.1137
Sc 0.6224 0.6224 0.6224
Se 0.3776 0.3776 0.3776
Se 0.3823 0.3823 0.8449
Se 0.3823 0.8449 0.3823
Se 0.4156 0.8494 0.8494
Se 0.8449 0.3823 0.3823
Se 0.8494 0.4156 0.8494
Se 0.8494 0.8494 0.4156
Se 0.8584 0.8584 0.8584

---

# 4
Density functional theory data (PBE) for an optimized crystal structure of TbHoSc2Se4.

Raw formation energy in eV per atom: -1.663
Symmetry: P2/m, No. 10
Magnetic moment in μB per cell: 0.0
Density in Mg/m³: 6.8

abc: 6.8965 3.9466 6.9169
angles: 90.00 109.10 90.00
Positions (direct):
Tb 0.0000 0.0000 0.0000
Ho 0.5000 0.5000 0.0000
Sc 0.0000 0.5000 0.5000
Sc 0.5000 0.0000 0.5000
Se 0.2468 0.0000 0.7353
Se 0.2571 0.5000 0.2660
Se 0.7429 0.5000 0.7340
Se 0.7532 0.0000 0.2647

---

# 5
Density functional theory data (PBE) for an optimized crystal structure of TbHo2ScSe4.

Raw formation energy in eV per atom: -1.690
Symmetry: P2/m, No. 10
Magnetic moment in μB per cell: 0.0
Density in Mg/m³: 7.6

abc: 6.9722 3.9886 7.0193
angles: 90.00 109.01 90.00
Positions (direct):
Tb 0.0000 0.0000 0.0000
Ho 0.5000 0.0000 0.5000
Ho 0.5000 0.5000 0.0000
Sc 0.0000 0.5000 0.5000
Se 0.2426 0.0000 0.7401
Se 0.2481 0.5000 0.2569
Se 0.7519 0.5000 0.7431
Se 0.7574 0.0000 0.2599

---

# 6
Density functional theory data (PBE) for an optimized crystal structure of TbHo2Sc3Se6.

Raw formation energy in eV per atom: -1.663
Symmetry: C2/m, No. 12
Magnetic moment in μB per cell: 0.0
Density in Mg/m³: 6.8

abc: 6.8793 6.8793 6.8996
angles: 99.51 99.51 120.26
Positions (direct):
Tb 0.0000 0.0000 0.0000
Ho 0.3338 0.6662 0.0000
Ho 0.6662 0.3338 0.0000
Sc 0.1640 0.8360 0.5000
Sc 0.5000 0.5000 0.5000
Sc 0.8360 0.1640 0.5000
Se 0.0882 0.4245 0.2651
Se 0.2480 0.2480 0.7362
Se 0.4245 0.0882 0.2651
Se 0.5755 0.9118 0.7349
Se 0.7520 0.7520 0.2638
Se 0.9118 0.5755 0.7349